(1)
First-principles (SCAN) data for a crystal of TcBi2Pt relaxed with PBEsol, as listed in Alexandria via LeMat-Bulk.

Summary:
* formation enthalpy at 0 K: 540 meV per atom

Lattice parameters (Å, degrees): 4.857 4.857 4.857 60.00 60.00 60.00
Last column: magnetic moment on the atom in μB.
Atoms (fractional coordinates):
Tc  0.000  0.000  0.000  1.92
Pt  0.500  0.500  0.500  0.20
Bi  0.750  0.750  0.750  -0.01
Bi  0.250  0.250  0.250  -0.01


(2)
First-principles (SCAN) data for a crystal of Co3TePb relaxed with PBEsol, as listed in Alexandria via LeMat-Bulk.

Summary:
* formation energy (no corrections): 0.93 eV per atom

Lattice parameters (Å, degrees): 4.627 4.627 4.627 90.00 90.00 90.00
Last column: magnetic moment on the atom in μB.
Atoms (fractional coordinates):
Co  0.500  0.000  0.000  1.26
Co  0.000  0.500  0.000  1.26
Co  0.000  0.000  0.500  1.26
Te  0.000  0.000  0.000  -0.06
Pb  0.500  0.500  0.500  -0.12


(3)
First-principles (SCAN) data for a crystal of AlSiMo relaxed with PBEsol, as listed in Alexandria via LeMat-Bulk.

Summary:
* formation energy (no corrections): -0.41 eV per atom

Lattice parameters (Å, degrees): 4.712 4.712 6.571 90.00 90.00 120.00
Atoms (fractional coordinates):
Al  0.167  0.833  0.167
Al  0.666  0.833  0.500
Al  0.167  0.334  0.833
Si  0.838  0.162  0.167
Si  0.838  0.676  0.833
Si  0.324  0.162  0.500
Mo  0.989  0.494  0.500
Mo  0.506  0.494  0.167
Mo  0.506  0.011  0.833


(4)
First-principles (SCAN) data for a crystal of Zr2Al3Zn relaxed with PBEsol, as listed in Alexandria via LeMat-Bulk.

Summary:
* formation enthalpy at 0 K: -590 meV per atom

Lattice parameters (Å, degrees): 5.204 5.204 5.204 60.91 60.91 60.91
Atoms (fractional coordinates):
Zn  0.000  0.000  0.000
Zr  0.624  0.624  0.624
Zr  0.376  0.376  0.376
Al  0.500  0.000  0.000
Al  0.000  0.000  0.500
Al  0.000  0.500  0.000


Theoretical density values, unit Mg/m³, following the record order: 14.57 8.58 5.96 5.37.
Magnetization values, unit μB/cell, following the record order: 2.2 3.4 0.0 0.0.